First-principles (GGA+U) data for crystalline VRuO2 at its relaxed geometry, as listed in the Alexandria database. Values from VASP.

Quantum ESPRESSO input file:
```
&SYSTEM
  ibrav = 0, nat = 4, ntyp = 3
/
ATOMIC_SPECIES
O 16.00 O.upf
V 50.94 V.upf
Ru 101.07 Ru.upf
ATOMIC_POSITIONS angstrom
O -10.241 -1.458 13.434
O -1.220 -0.174 1.601
V -5.731 -0.816 7.517
Ru 0.000 0.000 0.000
CELL_PARAMETERS angstrom
-5.106 -0.860 3.997
-2.885 -1.799 5.588
-3.470 1.027 5.449
```

Properties
The value obtained for the size of the total moment is 0.209 μB per atom. The energy above the lowest structure with this stoichiometry is 0.0000 eV/atom.